! PBE Ca3SiI3, optimized geometry; values from VASP
! total moment	1.00	μB per formula unit
! energy	-95.44	eV/cell
! SG	No. 214
! formation energy (no corrections)	-1.112	eV per atom
! DOS(E_F)	0.714	states/eV per atom
! crystal system	cubic
&SYSTEM
  ibrav = 0, nat = 28, ntyp = 3
/
ATOMIC_SPECIES
Ca 40.08 Ca.upf
I 126.90 I.upf
Si 28.09 Si.upf
ATOMIC_POSITIONS angstrom
Ca -3.7040 -7.3048 -0.1548
I 7.4166 1.1716 -3.2683
I 4.3039 -1.1834 -8.1352
Ca 3.8452 -7.0283 -1.0151
Ca 0.0974 -5.2230 0.2749
I 0.5636 0.7707 -6.7726
Ca -0.3214 -9.1105 -1.4061
Si -4.4000 -4.8038 -4.9620
I 6.4247 -2.3724 -0.8353
Si 2.4443 -4.3989 -1.4125
Ca 4.7816 -3.7651 -3.1929
I -0.4497 -2.7608 -4.4156
Si -1.4953 -6.4045 -1.9839
I 4.5527 2.7930 -6.2406
Ca -3.0387 -7.4144 -4.3571
Ca -2.8565 -3.7939 -2.5888
Ca 0.8516 -5.5803 -3.6713
I 7.2194 -2.7467 -5.1820
Si 2.6456 -0.3977 0.5416
I 8.2134 0.8388 -7.5947
Ca 1.2308 -1.6741 -1.7829
Ca 3.8592 -3.1225 0.9119
I 10.2826 -0.4084 -0.2759
Ca -5.7657 -5.9087 -7.4010
Ca -2.2009 -4.0939 -6.8840
I 0.4031 -3.2097 -8.7208
I 3.4877 -0.7967 -3.8646
I 3.2476 -4.7772 -5.8044
CELL_PARAMETERS angstrom
-5.1757 -9.6131 -0.1187
-1.0365 4.8121 -9.7460
10.5825 -1.5906 2.1665

! PBE Ca5SiI5, optimized geometry; values from VASP
! total moment	0.00	μB per formula unit
! energy	-36.18	eV/cell
! SG	No. 12
! formation energy (no corrections)	-1.182	eV per atom
! DOS(E_F)	0.394	states/eV per atom
! crystal system	monoclinic
&SYSTEM
  ibrav = 0, nat = 11, ntyp = 3
/
ATOMIC_SPECIES
I 126.90 I.upf
Ca 40.08 Ca.upf
Si 28.09 Si.upf
ATOMIC_POSITIONS angstrom
I -6.4274 -2.2600 3.6855
I 0.7123 -4.2358 1.5474
Ca -1.0577 -1.5516 2.1197
Ca -4.6574 -4.9442 3.1132
Ca -2.2457 -1.0743 -1.9070
I -3.3316 -3.1425 0.5369
I -2.3835 -3.3534 4.6960
Si 0.0000 0.0000 0.0000
Ca -1.2466 -5.6423 -0.5102
I -3.0798 0.6516 3.2598
Ca -4.4685 -0.8535 5.7431
CELL_PARAMETERS angstrom
-4.4915 -2.1486 -3.8140
4.9360 -5.6504 2.5272
-6.1596 1.3032 6.5196

! PBE Ca2SiI, optimized geometry; values from VASP
! total moment	0.00	μB per formula unit
! energy	-12.81	eV/cell
! polymorph energy (0 for the lowest one)	0	meV/atom
! SG	No. 225
! formation energy (no corrections)	-0.459	eV per atom
! DOS(E_F)	1.552	states/eV per atom
! crystal system	cubic
&SYSTEM
  ibrav = 0, nat = 4, ntyp = 3
/
ATOMIC_SPECIES
I 126.90 I.upf
Ca 40.08 Ca.upf
Si 28.09 Si.upf
ATOMIC_POSITIONS angstrom
I 3.8283 3.8283 3.8283
Ca 1.9141 1.9141 1.9141
Si 0.0000 0.0000 0.0000
Ca 5.7424 5.7424 5.7424
CELL_PARAMETERS angstrom
0.0000 3.8283 3.8283
3.8283 0.0000 3.8283
3.8283 3.8283 0.0000

! PBE CaSiI3, optimized geometry; values from VASP
! total moment	1.00	μB per formula unit
! energy	-13.03	eV/cell
! polymorph energy (0 for the lowest one)	87	meV/atom
! SG	No. 221
! formation energy (no corrections)	-0.191	eV per atom
! DOS(E_F)	0.604	states/eV per atom
! crystal system	cubic
&SYSTEM
  ibrav = 0, nat = 5, ntyp = 3
/
ATOMIC_SPECIES
Si 28.09 Si.upf
I 126.90 I.upf
Ca 40.08 Ca.upf
ATOMIC_POSITIONS angstrom
Si 3.0199 3.0199 3.0199
I 3.0199 0.0000 0.0000
I 0.0000 3.0199 0.0000
I 0.0000 0.0000 3.0199
Ca 0.0000 0.0000 0.0000
CELL_PARAMETERS angstrom
6.0398 0.0000 0.0000
0.0000 6.0398 0.0000
0.0000 0.0000 6.0398

! PBE Ca4SiI3, optimized geometry; values from VASP
! total moment	0.00	μB per formula unit
! energy	-52.20	eV/cell
! SG	No. 13
! formation energy (no corrections)	-1.003	eV per atom
! DOS(E_F)	0.349	states/eV per atom
! crystal system	monoclinic
&SYSTEM
  ibrav = 0, nat = 16, ntyp = 3
/
ATOMIC_SPECIES
Ca 40.08 Ca.upf
I 126.90 I.upf
Si 28.09 Si.upf
ATOMIC_POSITIONS angstrom
Ca 0.8087 7.2889 5.2784
Ca -3.1770 7.8269 4.0033
I -0.1243 1.5160 5.0047
I -2.2403 5.2720 5.7543
I 2.0114 4.6011 7.2421
Ca -1.5006 3.4361 2.7932
Ca -5.8764 4.4448 1.2414
I -2.9396 5.9725 1.3700
Ca 3.5118 2.3431 9.5176
I -4.3760 2.1869 3.5169
I 1.2224 5.1720 2.7638
Si -0.9914 1.9741 0.4446
Ca -3.1733 -0.5010 5.4806
Si -0.7257 9.1704 3.6893
Ca 0.8124 -1.0390 6.7557
Ca -0.8640 3.3519 7.9658
CELL_PARAMETERS angstrom
-6.1893 4.6846 -0.5512
-0.6475 -4.3566 6.6252
4.4722 6.4600 4.6851

! PBE CaSi3I, optimized geometry; values from VASP
! total moment	0.00	μB per formula unit
! energy	-14.43	eV/cell
! polymorph energy (0 for the lowest one)	0	meV/atom
! SG	No. 221
! formation energy (no corrections)	1.077	eV per atom
! DOS(E_F)	0.847	states/eV per atom
! crystal system	cubic
&SYSTEM
  ibrav = 0, nat = 5, ntyp = 3
/
ATOMIC_SPECIES
Si 28.09 Si.upf
I 126.90 I.upf
Ca 40.08 Ca.upf
ATOMIC_POSITIONS angstrom
Si -0.2561 1.0585 2.4263
I 0.0000 0.0000 0.0000
Ca 0.4146 -2.3071 3.9653
Si 2.1768 -1.3027 0.7981
Si -1.5061 -2.0628 0.7409
CELL_PARAMETERS angstrom
-3.0122 -4.1256 1.4819
4.3537 -2.6054 1.5962
-0.5122 2.1169 4.8525

! PBE Ca2SiI, optimized geometry; values from VASP
! total moment	1.00	μB per formula unit
! energy	-25.59	eV/cell
! polymorph energy (0 for the lowest one)	5	meV/atom
! SG	No. 122
! formation energy (no corrections)	-0.454	eV per atom
! DOS(E_F)	0.350	states/eV per atom
! crystal system	tetragonal
&SYSTEM
  ibrav = 0, nat = 8, ntyp = 3
/
ATOMIC_SPECIES
Si 28.09 Si.upf
Ca 40.08 Ca.upf
I 126.90 I.upf
ATOMIC_POSITIONS angstrom
Si 5.7162 -6.2167 3.7270
Ca -0.1549 -6.0523 1.2908
Ca 5.2365 -12.4380 4.9510
I 0.0000 0.0000 0.0000
Ca 4.6341 -3.9776 2.2906
I 0.7649 -8.7917 2.7081
Ca 3.2464 -7.5489 4.3380
Si 2.4774 -5.0515 0.7275
CELL_PARAMETERS angstrom
-2.4739 -7.6265 -0.2914
7.4287 -2.4765 1.7465
1.5263 -4.9054 4.9801

! PBE Ca3SiI, optimized geometry; values from VASP
! total moment	0.00	μB per formula unit
! energy	-15.46	eV/cell
! polymorph energy (0 for the lowest one)	0	meV/atom
! SG	No. 221
! formation energy (no corrections)	-0.496	eV per atom
! DOS(E_F)	0.967	states/eV per atom
! crystal system	cubic
&SYSTEM
  ibrav = 0, nat = 5, ntyp = 3
/
ATOMIC_SPECIES
I 126.90 I.upf
Ca 40.08 Ca.upf
Si 28.09 Si.upf
ATOMIC_POSITIONS angstrom
I 2.8616 2.8616 2.8616
Ca 0.0000 0.0000 2.8616
Ca 0.0000 2.8616 0.0000
Ca 2.8616 0.0000 0.0000
Si 0.0000 0.0000 0.0000
CELL_PARAMETERS angstrom
5.7231 0.0000 0.0000
0.0000 5.7231 0.0000
0.0000 0.0000 5.7231

! PBE CaSiI3, optimized geometry; values from VASP
! total moment	0.00	μB per formula unit
! energy	-13.47	eV/cell
! polymorph energy (0 for the lowest one)	0	meV/atom
! SG	No. 221
! formation energy (no corrections)	-0.278	eV per atom
! DOS(E_F)	0.591	states/eV per atom
! crystal system	cubic
&SYSTEM
  ibrav = 0, nat = 5, ntyp = 3
/
ATOMIC_SPECIES
I 126.90 I.upf
Ca 40.08 Ca.upf
Si 28.09 Si.upf
ATOMIC_POSITIONS angstrom
I 0.0000 2.8380 0.0000
Ca 2.8380 2.8380 2.8380
I 0.0000 0.0000 2.8380
Si 0.0000 0.0000 0.0000
I 2.8380 0.0000 0.0000
CELL_PARAMETERS angstrom
5.6761 0.0000 0.0000
0.0000 5.6761 0.0000
0.0000 0.0000 5.6761

! PBE CaTaSiI2, optimized geometry; values from VASP
! total moment	0.00	μB per formula unit
! energy	-21.24	eV/cell
! SG	No. 123
! formation energy (no corrections)	0.227	eV per atom
! DOS(E_F)	0.651	states/eV per atom
! crystal system	tetragonal
&SYSTEM
  ibrav = 0, nat = 5, ntyp = 4
/
ATOMIC_SPECIES
I 126.90 I.upf
Si 28.09 Si.upf
Ca 40.08 Ca.upf
Ta 180.95 Ta.upf
ATOMIC_POSITIONS angstrom
I 2.8063 0.0000 0.0000
Si 0.0000 2.4794 0.0000
Ca 2.8063 2.4794 2.8063
Ta 0.0000 0.0000 0.0000
I 0.0000 0.0000 2.8063
CELL_PARAMETERS angstrom
5.6127 0.0000 0.0000
0.0000 4.9588 0.0000
0.0000 0.0000 5.6127

! PBE CaSmI5, optimized geometry; values from VASP
! total moment	0.00	μB per formula unit
! energy	-49.18	eV/cell
! SG	No. 11
! formation energy (no corrections)	-1.446	eV per atom
! DOS(E_F)	0.000	states/eV per atom
! crystal system	monoclinic
&SYSTEM
  ibrav = 0, nat = 14, ntyp = 3
/
ATOMIC_SPECIES
Sm 150.36 Sm.upf
I 126.90 I.upf
Ca 40.08 Ca.upf
ATOMIC_POSITIONS angstrom
Sm 1.1085 3.7414 4.9473
I 3.3256 0.9741 13.8959
I 3.3256 2.8783 7.0759
Ca 3.3256 0.7959 1.9832
Ca 1.1085 8.2784 12.4374
I 1.1085 3.3649 10.3821
Sm 3.3256 5.3330 9.4732
I 1.1085 6.1960 7.3446
I 1.1085 0.6346 4.6372
I 3.3256 5.7095 4.0384
I 3.3256 5.8780 12.6093
I 3.3256 8.4398 9.7833
I 1.1085 8.1002 0.5247
I 1.1085 3.1964 1.8112
CELL_PARAMETERS angstrom
4.4342 0.0000 0.0000
0.0000 9.4275 -0.6693
0.0000 -0.3532 15.0899

! PBE CaSm2I, optimized geometry; values from VASP
! total moment	0.00	μB per formula unit
! energy	-13.59	eV/cell
! SG	No. 166
! formation energy (no corrections)	-0.150	eV per atom
! DOS(E_F)	1.633	states/eV per atom
! crystal system	trigonal
&SYSTEM
  ibrav = 0, nat = 4, ntyp = 3
/
ATOMIC_SPECIES
I 126.90 I.upf
Sm 150.36 Sm.upf
Ca 40.08 Ca.upf
ATOMIC_POSITIONS angstrom
I 3.7032 2.1380 6.0174
Sm 5.5547 3.2070 3.4885
Sm 1.8516 1.0690 8.5462
Ca 0.0000 0.0000 0.0000
CELL_PARAMETERS angstrom
3.7032 0.0000 0.0000
1.8516 3.2070 0.0000
1.8516 1.0690 12.0348

- Look up the total moment of the third one.
  0.00 μB per formula unit

- What is the energy in the sixth record?
  -14.43 eV/cell

- Number 5 is which compound?
  Ca4SiI3

- energy of number 1 (Ca3SiI3)?
  -95.44 eV/cell